1.
Compound: Ac2AgSnO6
Source: Alexandria via LeMat-Bulk
Functional: PBE
Structure: relaxed

Lattice parameters (Å, degrees): 10.889 5.756 5.841 90.00 121.29 90.00
Space group C2/m (No. 12)
Symmetry-distinct sites (fractional):
Ac: 0.250 0.000 0.229
Ag: 0.000 0.000 0.500
Sn: 0.000 0.500 0.000
O: 0.074 0.253 0.830
O: 0.209 0.500 0.319

Values from the calculation:
VASP energy: -66.62 eV per formula unit
DOS(E_F): 0.2506 states/eV per atom
Formation energy (no corrections): -2103 kJ/mol of formula units
Calculated volume: 15.64 Å³/atom

---

2.
Compound: SrAc2AgO5
Source: Alexandria via LeMat-Bulk
Functional: PBE
Structure: relaxed

Lattice parameters (Å, degrees): 7.093 7.093 6.199 90.00 90.00 90.00
Space group P4/mbm (No. 127)
Symmetry-distinct sites (fractional):
Sr: 0.000 0.000 0.000
Ac: 0.172 0.328 0.500
Ag: 0.000 0.500 0.000
O: 0.000 0.000 0.500
O: 0.151 0.651 0.243

Values from the calculation:
VASP energy: -58.67 eV per formula unit
Formation energy (no corrections): -2039 kJ/mol of formula units
Calculated volume: 17.33 Å³/atom

---

3.
Compound: Sr2AcAgO4
Source: Alexandria via LeMat-Bulk
Functional: PBE
Structure: relaxed

Lattice parameters (Å, degrees): 6.149 3.787 6.364 90.00 107.01 90.00
Space group P2/m (No. 10)
Symmetry-distinct sites (fractional):
Sr: 0.000 0.000 0.000
Sr: 0.500 0.500 0.000
Ac: 0.000 0.500 0.500
Ag: 0.500 0.000 0.500
O: 0.219 0.500 0.227
O: 0.241 0.000 0.744

Values from the calculation:
VASP energy: -48.67 eV per formula unit
DOS(E_F): 0.0000 states/eV per atom
Formation energy (no corrections): -1786 kJ/mol of formula units
Calculated volume: 17.71 Å³/atom

---

4.
Compound: Sr2AcAgO5
Source: Alexandria via LeMat-Bulk
Functional: PBE
Structure: relaxed

Lattice parameters (Å, degrees): 6.793 6.793 12.328 90.00 90.00 90.00
Space group I4/mcm (No. 140)
Symmetry-distinct sites (fractional):
Sr: 0.162 0.338 0.000
Ac: 0.000 0.000 0.250
Ag: 0.000 0.500 0.250
O: 0.000 0.000 0.000
O: 0.166 0.334 0.361

Values from the calculation:
VASP energy: -52.59 eV per formula unit
DOS(E_F): 0.5385 states/eV per atom
Formation energy (no corrections): -1686 kJ/mol of formula units
Calculated volume: 15.80 Å³/atom

---

5.
Compound: SrAcAg2O4
Source: Alexandria via LeMat-Bulk
Functional: PBE
Structure: relaxed

Lattice parameters (Å, degrees): 6.181 6.181 6.955 90.00 90.00 90.00
Space group I-42m (No. 121)
Symmetry-distinct sites (fractional):
Sr: 0.000 0.000 0.000
Ac: 0.000 0.000 0.500
Ag: 0.000 0.500 0.250
O: 0.213 0.213 0.255

Values from the calculation:
VASP energy: -45.03 eV per formula unit
DOS(E_F): 0.1798 states/eV per atom
Formation energy (no corrections): -1322 kJ/mol of formula units
Calculated volume: 16.61 Å³/atom

---

6.
Compound: SrAcAgO4
Source: Alexandria via LeMat-Bulk
Functional: PBE
Structure: relaxed

Lattice parameters (Å, degrees): 6.225 11.188 7.367 90.00 90.00 90.00
Space group Cmcm (No. 63)
Symmetry-distinct sites (fractional):
Sr: 0.000 0.000 0.000
Ac: 0.000 0.328 0.250
Ag: 0.000 0.354 0.750
O: 0.000 0.223 0.541
O: 0.230 0.499 0.750

Values from the calculation:
VASP energy: -40.82 eV per formula unit
DOS(E_F): 0.5000 states/eV per atom
Formation energy (no corrections): -1191 kJ/mol of formula units
Calculated volume: 18.32 Å³/atom

---

7.
Compound: Sr3Ac3AgO8
Source: Alexandria via LeMat-Bulk
Functional: PBE
Structure: relaxed

Lattice parameters (Å, degrees): 7.3939 7.3939 17.9549 90.00 90.00 120.00
Space group R-3m (No. 166, hexagonal axes)
Symmetry-distinct sites (fractional):
Sr: 0.0000 0.5000 0.0000
Ac: 0.0000 0.5000 0.5000
Ag: 0.0000 0.0000 0.5000
O: 0.0000 0.0000 0.2499
O: 0.0038 0.5019 0.7555

Values from the calculation:
VASP energy: -97.80 eV per formula unit
DOS(E_F): 0.0000 states/eV per atom
Formation energy (no corrections): -3658 kJ/mol of formula units
Calculated volume: 18.89 Å³/atom

---

8.
Compound: AcTaAgO5
Source: Alexandria via LeMat-Bulk
Functional: PBE
Structure: relaxed

Lattice parameters (Å, degrees): 6.851 11.215 8.734 90.00 111.83 90.00
Space group C2/c (No. 15)
Symmetry-distinct sites (fractional):
Ac: 0.250 0.250 0.000
Ta: 0.000 0.040 0.250
Ag: 0.000 0.463 0.250
O: 0.000 0.345 0.750
O: 0.007 0.136 0.423
O: 0.241 0.063 0.824

Values from the calculation:
VASP energy: -61.37 eV per formula unit
DOS(E_F): 0.1302 states/eV per atom
Formation energy (no corrections): -1715 kJ/mol of formula units
Calculated volume: 19.47 Å³/atom

---

9.
Compound: AcTc2AgO7
Source: Alexandria via LeMat-Bulk
Functional: PBE
Structure: relaxed

Lattice parameters (Å, degrees): 3.887 3.887 10.710 90.00 90.00 90.00
Space group P4/mmm (No. 123)
Symmetry-distinct sites (fractional):
Ac: 0.000 0.000 0.000
Tc: 0.500 0.500 0.210
Ag: 0.000 0.000 0.500
O: 0.000 0.500 0.176
O: 0.500 0.500 0.000
O: 0.500 0.500 0.375

Values from the calculation:
VASP energy: -79.35 eV per formula unit
DOS(E_F): 0.6052 states/eV per atom
Formation energy (no corrections): -1636 kJ/mol of formula units
Calculated volume: 14.71 Å³/atom

---

10.
Compound: AcTc2AgO8
Source: Alexandria via LeMat-Bulk
Functional: PBE
Structure: relaxed

Lattice parameters (Å, degrees): 6.2283 6.2283 6.8726 90.00 90.00 120.00
Space group P-3m1 (No. 164)
Symmetry-distinct sites (fractional):
Ac: 0.0000 0.0000 0.0000
Tc: 0.3333 0.6667 0.3212
Ag: 0.0000 0.0000 0.5000
O: 0.1747 0.3495 0.2359
O: 0.3333 0.6667 0.5737

Values from the calculation:
VASP energy: -86.50 eV per formula unit
DOS(E_F): 0.5464 states/eV per atom
Formation energy (no corrections): -1847 kJ/mol of formula units
Calculated volume: 19.24 Å³/atom

---

11.
Compound: Ac2TcAgO8
Source: Alexandria via LeMat-Bulk
Functional: PBE
Structure: relaxed

Lattice parameters (Å, degrees): 4.481 5.455 7.294 84.22 87.49 83.43
Space group P-1 (No. 2)
Symmetry-distinct sites (fractional):
Ac: 0.196 0.015 0.246
Tc: 0.500 0.500 0.500
Ag: 0.500 0.500 0.000
O: 0.196 0.742 0.559
O: 0.283 0.844 0.937
O: 0.296 0.485 0.258
O: 0.298 0.247 0.618

Values from the calculation:
VASP energy: -83.85 eV per formula unit
Formation energy (no corrections): -2195 kJ/mol of formula units
Calculated volume: 14.68 Å³/atom

---

12.
Compound: AcAgTe2O7
Source: Alexandria via LeMat-Bulk
Functional: PBE
Structure: relaxed

Lattice parameters (Å, degrees): 4.109 4.109 21.348 90.00 90.00 90.00
Space group I-4m2 (No. 119)
Symmetry-distinct sites (fractional):
Ac: 0.000 0.000 0.000
Ag: 0.000 0.500 0.250
Te: 0.000 0.000 0.392
O: 0.000 0.000 0.305
O: 0.000 0.000 0.500
O: 0.000 0.500 0.088
O: 0.000 0.500 0.587

Values from the calculation:
VASP energy: -62.85 eV per formula unit
DOS(E_F): 0.2481 states/eV per atom
Formation energy (no corrections): -1437 kJ/mol of formula units
Calculated volume: 16.38 Å³/atom

---

Question: VASP energy of number 1 (Ac2AgSnO6)?
Answer: -66.62 eV per formula unit

---

Question: What is the formula in the eighth record?
Answer: AcTaAgO5

---

Question: The highest calculated volume belongs to which entry?
Answer: AcTaAgO5

---

Repeat the eighth record exactly.
Compound: AcTaAgO5
Source: Alexandria via LeMat-Bulk
Functional: PBE
Structure: relaxed

Lattice parameters (Å, degrees): 6.851 11.215 8.734 90.00 111.83 90.00
Space group C2/c (No. 15)
Symmetry-distinct sites (fractional):
Ac: 0.250 0.250 0.000
Ta: 0.000 0.040 0.250
Ag: 0.000 0.463 0.250
O: 0.000 0.345 0.750
O: 0.007 0.136 0.423
O: 0.241 0.063 0.824

Values from the calculation:
VASP energy: -61.37 eV per formula unit
DOS(E_F): 0.1302 states/eV per atom
Formation energy (no corrections): -1715 kJ/mol of formula units
Calculated volume: 19.47 Å³/atom